[1]
Crystalline Ca2SbOs at its relaxed geometry, computed with PBE.

Geometry as POSCAR:
```
Ca2SbOs
1.0
-2.299 -2.807 -4.007
3.287 -4.127 -1.175
-2.016 1.646 4.737
Sb Ca Os
1 2 1
direct
0.250 0.750 0.500
0.000 0.000 0.000
0.500 0.500 0.000
0.750 0.250 0.500
```

- Calculated volume: 22.3 Å³ per atom
- D(E_F): 0.57 states/eV/atom
- Formation energy (no corrections): 0.182 eV per formula unit


[2]
Crystalline CsTl3Te at its relaxed geometry, computed with PBE.

Geometry as POSCAR:
```
CsTl3Te
1.0
-4.649 4.590 -0.152
-2.613 -2.822 -5.284
-3.777 -3.698 3.842
Cs Tl Te
1 3 1
direct
0.000 0.000 0.000
0.000 0.500 0.000
0.000 0.000 0.500
0.500 0.000 0.000
0.500 0.500 0.500
```

- Calculated volume: 55.8 Å³ per atom
- D(E_F): 0.84 states/eV/atom
- Formation energy (no corrections): 3.451 eV per formula unit


[3]
Crystalline Cr2PbCl at its relaxed geometry, computed with PBE.

Geometry as POSCAR:
```
Cr2PbCl
1.0
-1.132 -3.063 4.318
4.423 0.979 2.965
-4.445 2.356 -2.001
Pb Cr Cl
1 2 1
direct
0.750 0.250 0.500
0.024 0.024 0.000
0.476 0.476 0.000
0.250 0.750 0.500
```

- Calculated volume: 21.8 Å³ per atom
- D(E_F): 0.68 states/eV/atom
- Formation energy (no corrections): 1.828 eV per formula unit


[4]
Crystalline Ni2PS4 at its relaxed geometry, computed with PBE.

Geometry as POSCAR:
```
Ni2PS4
1.0
-5.932 -0.652 -0.813
0.515 -5.919 0.988
2.053 3.939 4.170
Ni P S
2 1 4
direct
0.000 0.500 0.000
0.500 0.000 0.000
0.000 0.000 0.000
0.847 0.847 0.154
0.307 0.307 0.154
0.693 0.153 0.846
0.153 0.693 0.846
```

- Calculated volume: 22.6 Å³ per atom
- D(E_F): 0.47 states/eV/atom
- Formation energy (no corrections): -1.040 eV per formula unit